1.
Here is an optimized crystal structure of TlSb2TeAs from the Alexandria database. Energies are from PBE.

```
TlSb2TeAs
1.0
-0.844 -0.088 5.610
3.644 -4.322 0.481
4.239 3.652 0.695
Tl Sb As Te
1 2 1 1
direct
0.000 0.000 0.000
0.500 0.000 0.000
0.000 0.500 0.000
0.500 0.500 0.500
0.000 0.000 0.500
```

Values from the calculation:
Size of the total moment = 0.00 μB/atom
D(E_F) = 1.509 states/eV/atom

---

2.
Here is an optimized crystal structure of TlSb2TeAs from the Alexandria database. Energies are from PBE.

```
TlSb2TeAs
1.0
-1.542 4.957 -1.539
-3.855 -2.169 -3.123
-3.652 0.217 4.357
Sb As Te Tl
2 1 1 1
direct
0.000 0.500 0.000
0.500 0.000 0.000
0.000 0.000 0.000
0.000 0.000 0.500
0.500 0.500 0.500
```

Values from the calculation:
Size of the total moment = 0.00 μB/atom
D(E_F) = 1.078 states/eV/atom

---

Stability summary - winner: 2; margin: 727 meV/atom.

---

1.
Here is an optimized crystal structure of VSbTe2As from the Alexandria database. Energies are from PBE.

```
VSbTe2As
1.0
5.084 0.000 0.000
0.000 5.084 0.000
0.000 0.000 5.231
As Te Sb V
1 2 1 1
direct
0.500 0.500 0.500
0.500 0.000 0.000
0.000 0.500 0.000
0.000 0.000 0.500
0.000 0.000 0.000
```

Values from the calculation:
Size of the total moment = 0.20 μB/atom
D(E_F) = 0.896 states/eV/atom

---

2.
Here is an optimized crystal structure of VSbTe2As from the Alexandria database. Energies are from PBE.

```
VSbTe2As
1.0
-2.912 4.145 -1.975
-4.584 -2.759 0.969
-0.249 2.069 4.708
As Sb V Te
1 1 1 2
direct
0.000 0.000 0.000
0.000 0.000 0.500
0.500 0.500 0.500
0.500 0.000 0.000
0.000 0.500 0.000
```

Values from the calculation:
Size of the total moment = 0.03 μB/atom
D(E_F) = 1.132 states/eV/atom

---

Stability summary - winner: 1; margin: 623 meV/atom.

---

1.
Here is an optimized crystal structure of Sb2TeAsW from the Alexandria database. Energies are from PBE.

```
Sb2TeAsW
1.0
5.191 0.000 0.000
0.000 5.191 0.000
0.000 0.000 5.348
Te Sb W As
1 2 1 1
direct
0.000 0.000 0.500
0.500 0.000 0.000
0.000 0.500 0.000
0.500 0.500 0.500
0.000 0.000 0.000
```

Values from the calculation:
Size of the total moment = 0.58 μB/atom
D(E_F) = 0.618 states/eV/atom

---

2.
Here is an optimized crystal structure of Sb2TeAsW from the Alexandria database. Energies are from PBE.

```
Sb2TeAsW
1.0
5.267 0.000 0.000
0.000 5.267 0.000
0.000 0.000 5.147
Sb As Te W
2 1 1 1
direct
0.000 0.500 0.000
0.500 0.000 0.000
0.500 0.500 0.500
0.000 0.000 0.500
0.000 0.000 0.000
```

Values from the calculation:
Size of the total moment = 0.02 μB/atom
D(E_F) = 1.359 states/eV/atom

---

Stability summary - winner: 2; margin: 714 meV/atom.

---

1.
Here is an optimized crystal structure of YSb2TeAs from the Alexandria database. Energies are from PBE.

```
YSb2TeAs
1.0
-3.218 -2.282 4.307
2.893 -5.048 -0.512
3.835 1.810 3.824
As Y Sb Te
1 1 2 1
direct
0.500 0.500 0.500
0.000 0.000 0.000
0.500 0.000 0.000
0.000 0.500 0.000
0.000 0.000 0.500
```

Values from the calculation:
Size of the total moment = 0.31 μB/atom
D(E_F) = 1.128 states/eV/atom

---

2.
Here is an optimized crystal structure of YSb2TeAs from the Alexandria database. Energies are from PBE.

```
YSb2TeAs
1.0
-3.477 0.609 -3.935
2.236 -4.024 -2.598
-3.413 -3.494 2.475
Te Sb As Y
1 2 1 1
direct
0.000 0.000 0.500
0.000 0.500 0.000
0.500 0.000 0.000
0.000 0.000 0.000
0.500 0.500 0.500
```

Values from the calculation:
Size of the total moment = 0.00 μB/atom
D(E_F) = 0.680 states/eV/atom

---

Stability summary - winner: 2; margin: 441 meV/atom.

---

1.
Here is an optimized crystal structure of ThSbAs from the Alexandria database. Energies are from PBE.

```
ThSbAs
1.0
-3.863 -0.484 -1.741
1.713 0.325 -3.891
2.266 -8.685 2.609
Sb As Th
2 2 2
direct
0.000 0.500 0.000
0.500 0.000 0.000
0.820 0.820 0.639
0.180 0.180 0.361
0.349 0.349 0.698
0.651 0.651 0.302
```

Values from the calculation:
Size of the total moment = 0.00 μB/atom
D(E_F) = 0.589 states/eV/atom

---

2.
Here is an optimized crystal structure of ThSbAs from the Alexandria database. Energies are from PBE.

```
ThSbAs
1.0
-3.004 2.970 -0.573
-2.643 -2.970 -1.541
-0.266 -1.534 9.314
Th As Sb
2 2 2
direct
0.624 0.624 0.248
0.376 0.376 0.752
0.000 0.500 0.000
0.500 0.000 0.000
0.189 0.189 0.377
0.811 0.811 0.623
```

Values from the calculation:
Size of the total moment = 0.00 μB/atom
D(E_F) = 0.562 states/eV/atom

---

Stability summary - winner: 1; margin: 136 meV/atom.

---

1.
Here is an optimized crystal structure of Ti2Sb2As from the Alexandria database. Energies are from PBE.

```
Ti2Sb2As
1.0
-4.437 1.384 2.890
1.700 -5.165 5.083
5.971 7.466 5.590
Ti Sb As
8 8 4
direct
0.750 0.433 0.743
0.250 0.567 0.257
0.250 0.067 0.243
0.750 0.371 0.430
0.250 0.629 0.570
0.750 0.933 0.757
0.750 0.871 0.070
0.250 0.129 0.930
0.750 0.565 0.218
0.250 0.435 0.782
0.750 0.197 0.947
0.250 0.803 0.053
0.250 0.935 0.718
0.750 0.065 0.282
0.250 0.303 0.447
0.750 0.697 0.553
0.750 0.653 0.903
0.250 0.847 0.403
0.250 0.347 0.097
0.750 0.153 0.597
```

Values from the calculation:
Size of the total moment = 0.00 μB/atom
D(E_F) = 0.635 states/eV/atom

---

2.
Here is an optimized crystal structure of Ti2Sb2As from the Alexandria database. Energies are from PBE.

```
Ti2Sb2As
1.0
-3.944 -3.170 -5.125
5.732 -3.862 -2.023
-1.003 -2.802 2.505
As Ti Sb
2 4 4
direct
0.000 0.000 0.000
0.500 0.500 0.000
0.346 0.846 0.000
0.154 0.346 0.000
0.654 0.154 0.000
0.846 0.654 0.000
0.148 0.648 0.500
0.352 0.148 0.500
0.852 0.352 0.500
0.648 0.852 0.500
```

Values from the calculation:
Size of the total moment = 0.00 μB/atom
D(E_F) = 0.707 states/eV/atom

---

Stability summary - winner: 2; margin: 45 meV/atom.

---

1.
Here is an optimized crystal structure of Ti2SbAs2 from the Alexandria database. Energies are from PBE.

```
Ti2SbAs2
1.0
7.386 0.000 0.000
0.000 7.386 0.000
0.000 0.000 3.374
Ti As Sb
4 4 2
direct
0.351 0.851 0.000
0.851 0.649 0.000
0.649 0.149 0.000
0.149 0.351 0.000
0.861 0.361 0.500
0.139 0.639 0.500
0.639 0.861 0.500
0.361 0.139 0.500
0.000 0.000 0.000
0.500 0.500 0.000
```

Values from the calculation:
Size of the total moment = 0.00 μB/atom
D(E_F) = 0.447 states/eV/atom

---

2.
Here is an optimized crystal structure of Ti2SbAs2 from the Alexandria database. Energies are from PBE.

```
Ti2SbAs2
1.0
3.755 0.000 0.000
0.000 3.755 0.000
1.878 1.878 6.700
As Ti Sb
2 2 1
direct
0.750 0.250 0.500
0.250 0.750 0.500
0.608 0.608 0.784
0.392 0.392 0.216
0.000 0.000 0.000
```

Values from the calculation:
Size of the total moment = 0.00 μB/atom
D(E_F) = 0.606 states/eV/atom

---

Stability summary - winner: 1; margin: 69 meV/atom.

---

1.
Here is an optimized crystal structure of Ti2SbAs2 from the Alexandria database. Energies are from PBE.

```
Ti2SbAs2
1.0
-6.005 -3.476 2.802
4.382 -5.488 2.583
0.380 1.652 2.865
Ti As Sb
4 4 2
direct
0.150 0.650 0.500
0.650 0.850 0.500
0.350 0.150 0.500
0.850 0.350 0.500
0.138 0.362 0.000
0.362 0.862 0.000
0.862 0.638 0.000
0.638 0.138 0.000
0.500 0.500 0.000
0.000 0.000 0.000
```

Values from the calculation:
Size of the total moment = 0.00 μB/atom
D(E_F) = 1.041 states/eV/atom

---

2.
Here is an optimized crystal structure of Ti2SbAs2 from the Alexandria database. Energies are from PBE.

```
Ti2SbAs2
1.0
4.785 0.000 0.000
0.000 4.785 0.000
2.393 2.393 4.329
Ti As Sb
2 2 1
direct
0.750 0.250 0.500
0.250 0.750 0.500
0.358 0.358 0.285
0.642 0.642 0.715
0.000 0.000 0.000
```

Values from the calculation:
Size of the total moment = 0.00 μB/atom
D(E_F) = 1.192 states/eV/atom

---

Stability summary - winner: 2; margin: 142 meV/atom.

---

1.
Here is an optimized crystal structure of Ti3SbAs from the Alexandria database. Energies are from PBE.

```
Ti3SbAs
1.0
-0.936 -3.696 2.408
7.247 0.715 -0.309
0.524 3.488 5.556
Sb Ti As
2 6 2
direct
0.619 0.239 0.381
0.381 0.761 0.619
0.814 0.629 0.449
0.265 0.531 0.160
0.024 0.048 0.275
0.186 0.371 0.551
0.976 0.952 0.725
0.735 0.469 0.840
0.128 0.256 0.925
0.872 0.744 0.075
```

Values from the calculation:
Size of the total moment = 0.00 μB/atom
D(E_F) = 0.735 states/eV/atom

---

2.
Here is an optimized crystal structure of Ti3SbAs from the Alexandria database. Energies are from PBE.

```
Ti3SbAs
1.0
-3.423 1.058 3.583
0.884 -4.492 2.171
3.629 2.092 2.850
Ti As Sb
3 1 1
direct
0.500 0.000 0.000
0.000 0.500 0.000
0.000 0.000 0.500
0.500 0.500 0.500
0.000 0.000 0.000
```

Values from the calculation:
Size of the total moment = 1.07 μB/atom
D(E_F) = 1.367 states/eV/atom

---

Stability summary - winner: 1; margin: 1190 meV/atom.

---

1.
Here is an optimized crystal structure of Tl2SbAs from the Alexandria database. Energies are from PBE.

```
Tl2SbAs
1.0
-1.441 -7.083 6.349
2.251 -7.646 5.387
1.335 -5.044 8.082
As Sb Tl
1 1 2
direct
0.489 0.489 0.489
0.766 0.766 0.766
0.242 0.242 0.242
0.002 0.002 0.002
```

Values from the calculation:
Size of the total moment = 0.00 μB/atom
D(E_F) = 0.517 states/eV/atom

---

2.
Here is an optimized crystal structure of Tl2SbAs from the Alexandria database. Energies are from PBE.

```
Tl2SbAs
1.0
5.007 0.000 0.000
0.000 3.250 0.110
0.000 1.091 7.076
Sb As Tl
1 1 2
direct
0.500 0.582 0.720
0.000 0.671 0.518
0.000 0.960 0.976
0.500 0.287 0.286
```

Values from the calculation:
Size of the total moment = 0.00 μB/atom
D(E_F) = 0.322 states/eV/atom

---

Stability summary - winner: 1; margin: 59 meV/atom.

---

1.
Here is an optimized crystal structure of Tl2SbAs from the Alexandria database. Energies are from PBE.

```
Tl2SbAs
1.0
4.359 0.000 0.000
0.000 4.543 0.000
0.000 0.000 5.624
Tl As Sb
2 1 1
direct
0.000 0.000 0.000
0.500 0.500 0.000
0.500 0.000 0.500
0.000 0.500 0.500
```

Values from the calculation:
Size of the total moment = 0.00 μB/atom
D(E_F) = 0.612 states/eV/atom

---

2.
Here is an optimized crystal structure of Tl2SbAs from the Alexandria database. Energies are from PBE.

```
Tl2SbAs
1.0
-2.446 -2.170 -5.706
-5.584 -1.690 3.036
-6.470 4.013 -2.542
Tl As Sb
4 2 2
direct
0.146 0.625 0.250
0.875 0.854 0.750
0.375 0.396 0.750
0.604 0.125 0.250
0.500 0.500 0.000
0.250 0.750 0.500
0.750 0.250 0.500
0.000 0.000 0.000
```

Values from the calculation:
Size of the total moment = 0.00 μB/atom
D(E_F) = 0.046 states/eV/atom

---

Stability summary - winner: 2; margin: 34 meV/atom.

---

1.
Here is an optimized crystal structure of Tl2SbAs from the Alexandria database. Energies are from PBE.

```
Tl2SbAs
1.0
-5.598 0.830 0.909
-0.265 -3.019 1.125
0.948 -0.864 6.628
Tl Sb As
2 1 1
direct
0.000 0.189 0.006
0.000 0.311 0.494
0.500 0.750 0.750
0.500 0.250 0.250
```

Values from the calculation:
Size of the total moment = 0.00 μB/atom
D(E_F) = 0.637 states/eV/atom

---

2.
Here is an optimized crystal structure of Tl2SbAs from the Alexandria database. Energies are from PBE.

```
Tl2SbAs
1.0
-1.815 -1.493 -2.594
-1.579 -0.166 3.120
-4.638 8.892 -1.875
Tl Sb As
2 1 1
direct
0.000 0.000 0.994
0.500 0.500 0.275
0.500 0.500 0.712
0.000 0.000 0.519
```

Values from the calculation:
Size of the total moment = 0.00 μB/atom
D(E_F) = 0.454 states/eV/atom

---

3.
Here is an optimized crystal structure of Tl2SbAs from the Alexandria database. Energies are from PBE.

```
Tl2SbAs
1.0
-0.469 0.428 3.951
-3.960 0.277 -0.500
-0.555 -6.749 0.665
Sb Tl As
1 2 1
direct
0.500 0.500 0.750
0.000 0.000 0.014
0.000 0.000 0.486
0.500 0.500 0.250
```

Values from the calculation:
Size of the total moment = 0.00 μB/atom
D(E_F) = 0.593 states/eV/atom

---

Stability summary - winner: 1; margin: 24 meV/atom.